KYRu: relaxed, GGA-PBE.

The formation energy from the elements is 1.09 eV per formula unit. Its density of states at the Fermi level is 1.66 states/eV/cell. For the total DFT energy (no corrections), the calculation gives -5.2497 eV/atom. For the energy above the most stable polymorph in this dataset, the calculation gives 0.00 eV per formula unit.

a b c (Å): 7.895 7.895 3.498
angles (deg): 77.20 77.20 25.60
Positions (direct):
Ru 0.692 0.692 0.308
Y 0.278 0.278 0.722
K 0.030 0.030 0.970